Record 1
DFT (PBE) results for a geometry-optimized TlSbH2Cl8 structure.

The space group is P-1 (No. 2) and the conventional cell measures 6.9123, 6.9216 and 8.8772 Å, with angles of 83.00, 73.07 and 77.26 degrees. The asymmetric unit holds Tl at (0.0000, 0.0000, 0.0000), Sb at (0.0000, 0.0000, 0.5000), H at (0.2641, 0.6087, 0.7393), Cl at (0.2016, 0.1244, 0.6342), Cl at (0.2203, 0.6770, 0.4986), Cl at (0.2261, 0.0937, 0.2493) and Cl at (0.2881, 0.5645, 0.8816).

As for the total energy: -36.39 eV for the cell shown. Its crystal system is triclinic.

***

Record 2
DFT (PBE) results for a geometry-optimized VSbH2Cl structure.

The space group is P4/mmm (No. 123) and the conventional cell measures 3.8899, 3.8899 and 5.4765 Å, with angles of 90.00, 90.00 and 90.00 degrees. The asymmetric unit holds V at (0.0000, 0.0000, 0.0000), Sb at (0.0000, 0.0000, 0.5000), H at (0.0000, 0.5000, 0.0000) and Cl at (0.5000, 0.5000, 0.5000).

As for the total energy: -20.57 eV for the cell shown. Its crystal system is tetragonal.

***

Record 3
DFT (PBE) results for a geometry-optimized ZrSbHCl2 structure.

The space group is P4/mmm (No. 123) and the conventional cell measures 4.9345, 4.9345 and 3.8952 Å, with angles of 90.00, 90.00 and 90.00 degrees. The asymmetric unit holds Zr at (0.0000, 0.0000, 0.0000), Sb at (0.5000, 0.5000, 0.0000), H at (0.0000, 0.0000, 0.5000) and Cl at (0.0000, 0.5000, 0.5000).

As for the total energy: -19.94 eV for the cell shown. Its crystal system is tetragonal.

***

Record 4
DFT (PBE) results for a geometry-optimized ScH2Cl6 structure.

The space group is C2/c (No. 15) and the conventional cell measures 12.8477, 11.4178 and 6.6918 Å, with angles of 90.00, 94.31 and 90.00 degrees. The asymmetric unit holds Sc at (0.0000, 0.0810, 0.2500), H at (0.1193, 0.4568, 0.3696), Cl at (0.1042, 0.2501, 0.3730), Cl at (0.1104, 0.0634, 0.9522) and Cl at (0.1244, 0.4295, 0.8685).

As for the total energy: -133.55 eV for the cell shown. Its crystal system is monoclinic.

***

Record 5
DFT (PBE) results for a geometry-optimized ScH3Cl structure.

The space group is Pm-3m (No. 221) and the conventional cell measures 3.8694, 3.8694 and 3.8694 Å, with angles of 90.00, 90.00 and 90.00 degrees. The asymmetric unit holds Sc at (0.0000, 0.0000, 0.0000), H at (0.0000, 0.0000, 0.5000) and Cl at (0.5000, 0.5000, 0.5000).

Its crystal system is cubic. The polymorph energy (0 for the lowest one) is 0.000 eV per atom.

***

Record 6
DFT (PBE) results for a geometry-optimized Sc3HCl structure.

The space group is Pm-3m (No. 221) and the conventional cell measures 4.4852, 4.4852 and 4.4852 Å, with angles of 90.00, 90.00 and 90.00 degrees. The asymmetric unit holds Sc at (0.0000, 0.0000, 0.5000), H at (0.0000, 0.0000, 0.0000) and Cl at (0.5000, 0.5000, 0.5000).

Its crystal system is cubic. The polymorph energy (0 for the lowest one) is 0.000 eV per atom.

***

Record 7
DFT (PBE) results for a geometry-optimized ScHCl2 structure.

The space group is Cm (No. 8) and the conventional cell measures 6.0484, 3.4915 and 7.2088 Å, with angles of 90.00, 105.59 and 90.00 degrees. The asymmetric unit holds Sc at (0.0000, 0.0000, 0.0000), H at (0.3332, 0.0000, 0.9999), Cl at (0.0882, 0.5000, 0.7549) and Cl at (0.2452, 0.5000, 0.2450).

As for the total energy: -39.45 eV for the cell shown. Its crystal system is monoclinic.

***

Record 8
DFT (PBE) results for a geometry-optimized ScHCl2 structure.

The space group is R-3m (No. 166, hexagonal axes) and the conventional cell measures 3.9480, 3.9480 and 28.3385 Å, with angles of 90.00, 90.00 and 120.00 degrees. The asymmetric unit holds Sc at (0.0000, 0.0000, 0.0000), H at (0.0000, 0.0000, 0.5000) and Cl at (0.0000, 0.0000, 0.0801).

As for the total energy: -43.47 eV for the cell shown. Its crystal system is trigonal.

***

Record 9
DFT (PBE) results for a geometry-optimized ScH3Cl structure.

The space group is Pm-3m (No. 221) and the conventional cell measures 3.7970, 3.7970 and 3.7970 Å, with angles of 90.00, 90.00 and 90.00 degrees. The asymmetric unit holds Sc at (0.0000, 0.0000, 0.0000), H at (0.0000, 0.5000, 0.5000) and Cl at (0.5000, 0.5000, 0.5000).

Its crystal system is cubic. The polymorph energy (0 for the lowest one) is 0.913 eV per atom.

***

Record 10
DFT (PBE) results for a geometry-optimized ScH2Cl2 structure.

The space group is P4/mbm (No. 127) and the conventional cell measures 5.8305, 5.8305 and 3.8866 Å, with angles of 90.00, 90.00 and 90.00 degrees. The asymmetric unit holds Sc at (0.0000, 0.0000, 0.0000), H at (0.1692, 0.3308, 0.0000) and Cl at (0.1791, 0.6791, 0.5000).

Its crystal system is tetragonal. The polymorph energy (0 for the lowest one) is 0.568 eV per atom.

***

Record 11
DFT (PBE) results for a geometry-optimized Sc2HCl3 structure.

The space group is C2/m (No. 12) and the conventional cell measures 16.9416, 3.5010 and 9.7989 Å, with angles of 90.00, 110.25 and 90.00 degrees. The asymmetric unit holds Sc at (0.0815, 0.0000, 0.4681), Sc at (0.0819, 0.5000, 0.7643), H at (0.0447, 0.0000, 0.6441), Cl at (0.0747, 0.5000, 0.2683), Cl at (0.1375, 0.0000, 0.9566) and Cl at (0.1874, 0.5000, 0.6285).

Its crystal system is monoclinic. The polymorph energy (0 for the lowest one) is 0.000 eV per atom.

***

Record 12
DFT (PBE) results for a geometry-optimized ScH2Cl structure.

The space group is I4_1/amd (No. 141, origin choice 2) and the conventional cell measures 4.0649, 4.0649 and 12.6203 Å, with angles of 90.00, 90.00 and 90.00 degrees. The asymmetric unit holds Sc at (0.0000, 0.2500, 0.3750), H at (0.0000, 0.0000, 0.5000) and Cl at (0.0000, 0.2500, 0.8750).

Its crystal system is tetragonal. The polymorph energy (0 for the lowest one) is 0.000 eV per atom.

***

Number 1: DOS(E_F) 0.00 states/eV per cell. Number 2: DOS(E_F) 3.02 states/eV per cell. Number 3: DOS(E_F) 2.25 states/eV per cell. Number 4: DOS(E_F) 46.61 states/eV per cell. Number 5: DOS(E_F) 4.00 states/eV per cell. Number 6: DOS(E_F) 3.37 states/eV per cell. Number 7: DOS(E_F) 0.00 states/eV per cell. Number 8: DOS(E_F) 3.54 states/eV per cell. Number 9: DOS(E_F) 1.45 states/eV per cell. Number 10: DOS(E_F) 3.71 states/eV per cell. Number 11: DOS(E_F) 12.03 states/eV per cell. Number 12: DOS(E_F) 0.00 states/eV per cell.